# 1
Compound: TaAgW2
Source: the Alexandria database
Functional: PBE
Structure: optimized geometry

Results
For the total energy, the calculation gives -38.88 eV/f.u. As for the crystal system: tetragonal. The formation energy comes out at 0.432 eV/atom.

Lattice parameters (Å, degrees): 3.956 3.956 4.292 90.00 90.00 90.00
Space group P4/mmm (No. 123)
Asymmetric unit:
Ta 0.000 0.000 0.000
Ag 0.500 0.500 0.000
W 0.000 0.500 0.500

# 2
Compound: CdTc2Ru
Source: the Alexandria database
Functional: PBE
Structure: optimized geometry

Results
For the total energy, the calculation gives -29.34 eV/f.u. As for the crystal system: orthorhombic. The formation energy comes out at 0.395 eV/atom.

Lattice parameters (Å, degrees): 2.921 4.624 9.373 90.00 90.00 90.00
Space group Cmm2 (No. 35)
Asymmetric unit:
Cd 0.000 0.000 0.000
Tc 0.000 0.000 0.503
Tc 0.000 0.500 0.271
Ru 0.000 0.500 0.736

What is the formula in the first record? TaAgW2